Entry 1:
First-principles (GGA-PBE) data for Mg2Au5 after structural relaxation, as listed in Alexandria.

a = 7.092 Å, b = 7.092 Å, c = 7.632 Å
α = 93.51°, β = 93.51°, γ = 40.98°
Fractional coordinates of all 14 atoms:
Mg 0.112 0.727 0.897
Mg 0.273 0.888 0.603
Mg 0.727 0.112 0.397
Mg 0.888 0.273 0.103
Au 0.030 0.397 0.819
Au 0.174 0.560 0.540
Au 0.310 0.690 0.250
Au 0.397 0.030 0.319
Au 0.440 0.826 0.960
Au 0.560 0.174 0.040
Au 0.603 0.970 0.681
Au 0.690 0.310 0.750
Au 0.826 0.440 0.460
Au 0.970 0.603 0.181

Results
Size of the total moment, μB per formula unit: 0.0
Density of states at the Fermi level, states/eV per cell: 2.77
Calculated formation energy, eV per atom: -0.404

Entry 2:
First-principles (GGA-PBE) data for TiGaTc2Rh after structural relaxation, as listed in Alexandria.

a = 4.692 Å, b = 4.692 Å, c = 4.494 Å
α = 90.00°, β = 90.00°, γ = 90.00°
Fractional coordinates of all 5 atoms:
Ti 0.000 0.000 0.000
Ga 0.500 0.500 0.000
Tc 0.000 0.500 0.500
Tc 0.500 0.000 0.500
Rh 0.500 0.500 0.500

Results
Size of the total moment, μB per formula unit: 0.0
Density of states at the Fermi level, states/eV per cell: 6.70
Calculated formation energy, eV per atom: 1.175